Computed, not measured: a relaxed structure of B2RhW at the GGA-PBE level of DFT.

Cell: 4.5310 4.5310 6.1599 Å, 68.42 68.42 90.00°
Last column: nearest neighbours and their distance in Å.
Element x y z (fractional)
W  0.0000  0.0000  0.0000  4 B 2.14
B  0.5985  0.1250  0.2500  2 Rh 2.01, 2 W 2.14
B  0.8750  0.8485  0.7500  2 Rh 2.01, 2 W 2.14
B  0.1515  0.6250  0.2500  2 Rh 2.01, 2 W 2.14
W  0.7500  0.2500  0.5000  4 B 2.14
Rh  0.2500  0.7500  0.5000  4 B 2.01
B  0.3750  0.4015  0.7500  2 Rh 2.01, 2 W 2.14
Rh  0.5000  0.5000  0.0000  4 B 2.01

Output
Formation energy in eV/atom: 0.629
Fermi-level density of states in states/eV per cell: 6.51
Energy above the most stable polymorph in this dataset in kJ/mol of atoms: 24.17


Computed, not measured: a relaxed structure of AlNi3 at the GGA-PBE level of DFT.

Cell: 4.1777 4.1777 2.6882 Å, 90.00 90.00 103.94°
Last column: nearest neighbours and their distance in Å.
Element x y z (fractional)
Ni  0.5000  0.5000  0.0000  10 Ni 2.48-2.69, 2 Al 2.57
Ni  0.5000  0.0000  0.5000  8 Ni 2.48-2.69, 4 Al 2.48
Ni  0.0000  0.5000  0.5000  4 Al 2.48, 8 Ni 2.48-2.69
Al  0.0000  0.0000  0.0000  10 Ni 2.48-2.57, 2 Al 2.69

Output
Formation energy in eV/atom: -0.366
Fermi-level density of states in states/eV per cell: 3.69


Computed, not measured: a relaxed structure of Sr2YCl at the GGA-PBE level of DFT.

Cell: 7.1413 7.1413 7.1413 Å, 149.56 123.86 65.21°
Last column: nearest neighbours and their distance in Å.
Element x y z (fractional)
Sr  0.9500  0.9500  0.0000  2 Cl 3.17
Cl  0.7378  0.2378  0.5000  2 Y 2.93, 2 Sr 3.17
Sr  0.2617  0.7617  0.5000  6 Sr 3.75-4.19, 4 Cl 3.86, 2 Y 3.95
Y  0.5506  0.5506  0.0000  2 Cl 2.93

Output
Fermi-level density of states in states/eV per cell: 5.32
Energy relative to the elements, uncorrected in eV/f.u.: -2.1
Energy above the most stable polymorph in this dataset in kJ/mol of atoms: 21.14


Computed, not measured: a relaxed structure of CsBa2TaSe5 at the GGA-PBE level of DFT.

Cell: 5.0713 8.0487 8.8893 Å, 116.92 106.57 90.00°
Last column: nearest neighbours and their distance in Å.
Element x y z (fractional)
Se  0.6257  0.8991  0.2513  1 Ta 2.62
Ba  0.7864  0.7864  0.5729  7 Se 3.21-3.39
Se  0.0000  0.0000  0.0000  2 Ta 2.54
Se  0.6257  0.3522  0.2513  1 Ta 2.62
Cs  0.0000  0.5000  0.0000  10 Se 3.85-4.02
Ta  0.5000  0.0000  0.0000  6 Se 2.54-2.62
Se  0.3743  0.6478  0.7487  1 Ta 2.62
Se  0.3743  0.1009  0.7487  1 Ta 2.62
Ba  0.2136  0.2136  0.4271  7 Se 3.21-3.39

Output
Energy relative to the elements, uncorrected in eV/f.u.: -12.5


Computed, not measured: a relaxed structure of LaEr2AlAu4 at the GGA-PBE level of DFT.

Cell: 4.9307 4.9307 9.1531 Å, 74.37 74.37 60.00°
Last column: nearest neighbours and their distance in Å.
Element x y z (fractional)
Au  0.8780  0.8780  0.3660  4 Er 2.92-2.98, 3 Al 3.08, 1 La 3.18, 3 Au 3.24
Al  0.5000  0.5000  0.5000  2 Au 2.71
Au  0.3961  0.3961  0.8117  1 Al 2.71, 3 Er 2.98
Au  0.1220  0.1220  0.6340  4 Er 2.92-2.98, 3 Al 3.08, 1 La 3.18, 3 Au 3.24
Er  0.2362  0.2362  0.2914  7 Au 2.92-2.98
Er  0.7638  0.7638  0.7086  7 Au 2.92-2.98
La  0.0000  0.0000  0.0000  8 Au 3.18-3.28
Au  0.6039  0.6039  0.1883  1 Al 2.71, 3 Er 2.98

Output
Formation energy in eV/atom: -0.745
Fermi-level density of states in states/eV per cell: 4.17


Computed, not measured: a relaxed structure of LiTaCr2Se6 at the GGA-PBE level of DFT.

Cell: 6.4147 6.4140 6.9406 Å, 62.49 62.50 60.02°
Last column: nearest neighbours and their distance in Å.
Element x y z (fractional)
Li  0.8232  0.8236  0.5300  6 Se 2.59-2.66
Se  0.9157  0.5919  0.2493  2 Cr 2.56-2.59, 1 Ta 2.57, 1 Li 2.66
Se  0.4030  0.7442  0.7503  2 Cr 2.54-2.59, 1 Ta 2.58, 1 Li 2.59
Se  0.7441  0.1026  0.7503  2 Cr 2.53-2.58, 1 Ta 2.58, 1 Li 2.59
Ta  0.3283  0.3286  0.0144  6 Se 2.57-2.58
Cr  0.0041  0.0040  0.9880  6 Se 2.53-2.59
Cr  0.5054  0.5051  0.4841  6 Se 2.56-2.59
Se  0.5921  0.2428  0.2493  2 Cr 2.56-2.59, 1 Ta 2.57, 1 Li 2.66
Se  0.2429  0.9157  0.2496  2 Cr 2.56-2.59, 1 Ta 2.57, 1 Li 2.66
Se  0.1027  0.4029  0.7499  2 Cr 2.53-2.58, 1 Ta 2.58, 1 Li 2.59

Output
Fermi-level density of states in states/eV per cell: 1.31
Energy relative to the elements, uncorrected in eV/f.u.: -6.3


Computed, not measured: a relaxed structure of Er2PCl2 at the GGA-PBE level of DFT.

Cell: 3.9051 3.9051 10.3413 Å, 79.12 79.12 60.00°
Last column: nearest neighbours and their distance in Å.
Element x y z (fractional)
Cl  0.7708  0.7708  0.6877  3 Er 2.78
P  0.0000  0.0000  0.0000  6 Er 2.72
Er  0.6165  0.6165  0.1505  3 P 2.72, 3 Cl 2.78
Cl  0.2292  0.2292  0.3123  3 Er 2.78
Er  0.3835  0.3835  0.8495  3 P 2.72, 3 Cl 2.78

Output
Fermi-level density of states in states/eV per cell: 1.57
Energy relative to the elements, uncorrected in eV/f.u.: -9.7


Computed, not measured: a relaxed structure of Zr3Ta at the GGA-PBE level of DFT.

Cell: 4.4419 4.4419 4.4419 Å, 90.00 90.00 90.00°
Last column: nearest neighbours and their distance in Å.
Element x y z (fractional)
Zr  0.5000  0.5000  0.0000  8 Zr 3.14, 4 Ta 3.14
Ta  0.0000  0.0000  0.0000  12 Zr 3.14
Zr  0.5000  0.0000  0.5000  8 Zr 3.14, 4 Ta 3.14
Zr  0.0000  0.5000  0.5000  8 Zr 3.14, 4 Ta 3.14

Output
Formation energy in eV/atom: 0.167
Fermi-level density of states in states/eV per cell: 5.26
Energy above the most stable polymorph in this dataset in kJ/mol of atoms: 6.13


no.,V (Å³/f.u.)
1,54.0
2,45.5
3,151.6
4,306.5
5,183.2
6,209.2
7,133.3
8,87.6